# Li2MgTl

An optimized crystal structure of Li2MgTl (GGA-PBE, the Alexandria database).

Results
- Total moment: 0.00 μB per formula unit
- Energy of formation: -0.1934 eV/atom

CIF file:
```
data_Li2MgTl
_space_group_name_H-M_alt 'F m -3 m'
_space_group_IT_number 225
_space_group_name_Hall '-F 4 2 3'
_cell_length_a 6.764
_cell_length_b 6.764
_cell_length_c 6.764
_cell_angle_alpha 90.00
_cell_angle_beta 90.00
_cell_angle_gamma 90.00
loop_
_atom_site_label
_atom_site_type_symbol
_atom_site_fract_x
_atom_site_fract_y
_atom_site_fract_z
Li1 Li 0.250 0.250 0.250
Mg1 Mg 0.000 0.000 0.000
Tl1 Tl 0.000 0.000 0.500
```

# MgBeH

An optimized crystal structure of MgBeH (GGA-PBE, the Alexandria database).

Results
- Total moment: 0.00 μB per formula unit
- Offset from the most stable computed form: 2 meV per atom

CIF file:
```
data_MgBeH
_space_group_name_H-M_alt 'C 1 2/m 1'
_space_group_IT_number 12
_cell_length_a 8.711
_cell_length_b 3.793
_cell_length_c 5.222
_cell_angle_alpha 90.00
_cell_angle_beta 126.48
_cell_angle_gamma 90.00
loop_
_space_group_symop_operation_xyz
'x,y,z'
'-x,-y,-z'
'-x,y,-z'
'x,-y,z'
'x+1/2,y+1/2,z'
'-x+1/2,-y+1/2,-z'
'-x+1/2,y+1/2,-z'
'x+1/2,-y+1/2,z'
loop_
_atom_site_label
_atom_site_type_symbol
_atom_site_fract_x
_atom_site_fract_y
_atom_site_fract_z
Mg1 Mg 0.000 0.000 0.000
Mg2 Mg 0.000 0.500 0.500
Be1 Be 0.248 0.000 0.896
H1 H 0.169 0.500 0.273
```

# TlPOs2

An optimized crystal structure of TlPOs2 (GGA-PBE, the Alexandria database).

Results
- Total moment: 0.00 μB per formula unit
- Energy of formation: 0.5231 eV/atom
- Offset from the most stable computed form: 130 meV per atom

CIF file:
```
data_TlPOs2
_space_group_name_H-M_alt 'P 4/m m m'
_space_group_IT_number 123
_space_group_name_Hall '-P 4 2'
_cell_length_a 2.973
_cell_length_b 2.973
_cell_length_c 7.058
_cell_angle_alpha 90.00
_cell_angle_beta 90.00
_cell_angle_gamma 90.00
loop_
_atom_site_label
_atom_site_type_symbol
_atom_site_fract_x
_atom_site_fract_y
_atom_site_fract_z
Tl1 Tl 0.000 0.000 0.000
P1 P 0.000 0.000 0.500
Os1 Os 0.500 0.500 0.306
```

# NaNb4SnN8

An optimized crystal structure of NaNb4SnN8 (GGA-PBE, the Alexandria database).

Results
- Total moment: 0.00 μB per formula unit
- Raw formation energy: -0.4790 eV per atom

CIF file:
```
data_NaNb4SnN8
_space_group_name_H-M_alt 'R 3 m'
_space_group_IT_number 160
_space_group_name_Hall 'R 3 -2"'
_cell_length_a 6.2879
_cell_length_b 6.2879
_cell_length_c 15.8529
_cell_angle_alpha 90.00
_cell_angle_beta 90.00
_cell_angle_gamma 120.00
loop_
_atom_site_label
_atom_site_type_symbol
_atom_site_fract_x
_atom_site_fract_y
_atom_site_fract_z
Na1 Na 0.0000 0.0000 0.0000
Nb1 Nb 0.0000 0.0000 0.6244
Nb2 Nb 0.1693 0.3386 0.8338
Sn1 Sn 0.0000 0.0000 0.3813
N1 N 0.0000 0.0000 0.2452
N2 N 0.0000 0.0000 0.7590
N3 N 0.0046 0.5023 0.2421
N4 N 0.0188 0.5094 0.7661
```

# VBiBSe2

An optimized crystal structure of VBiBSe2 (GGA-PBE, the Alexandria database).

Results
- Total moment: 0.16 μB per formula unit
- Raw formation energy: 0.6791 eV per atom

CIF file:
```
data_VBiBSe2
_space_group_name_H-M_alt 'P 4/m m m'
_space_group_IT_number 123
_space_group_name_Hall '-P 4 2'
_cell_length_a 4.783
_cell_length_b 4.783
_cell_length_c 4.188
_cell_angle_alpha 90.00
_cell_angle_beta 90.00
_cell_angle_gamma 90.00
loop_
_atom_site_label
_atom_site_type_symbol
_atom_site_fract_x
_atom_site_fract_y
_atom_site_fract_z
V1 V 0.000 0.000 0.000
Bi1 Bi 0.500 0.500 0.000
B1 B 0.000 0.000 0.500
Se1 Se 0.000 0.500 0.500
```

# K2AcI6

An optimized crystal structure of K2AcI6 (GGA-PBE, the Alexandria database).

Results
- Total moment: 0.71 μB per formula unit
- Raw formation energy: -1.2781 eV per atom

CIF file:
```
data_K2AcI6
_space_group_name_H-M_alt 'A m m 2'
_space_group_IT_number 38
_cell_length_a 5.099
_cell_length_b 16.637
_cell_length_c 9.099
_cell_angle_alpha 90.00
_cell_angle_beta 90.00
_cell_angle_gamma 90.00
loop_
_space_group_symop_operation_xyz
'x,y,z'
'-x,-y,z'
'-x,y,z'
'x,-y,z'
'x,y+1/2,z+1/2'
'-x,-y+1/2,z+1/2'
'-x,y+1/2,z+1/2'
'x,-y+1/2,z+1/2'
loop_
_atom_site_label
_atom_site_type_symbol
_atom_site_fract_x
_atom_site_fract_y
_atom_site_fract_z
K1 K 0.000 0.175 0.000
Ac1 Ac 0.500 0.000 0.523
I1 I 0.000 0.000 0.774
I2 I 0.000 0.119 0.385
I3 I 0.500 0.000 0.147
I4 I 0.500 0.188 0.692
```

# LiSc

An optimized crystal structure of LiSc (GGA-PBE, the Alexandria database).

Results
- Total moment: 0.00 μB per formula unit
- Energy of formation: 0.1635 eV/atom
- Offset from the most stable computed form: 72 meV per atom

CIF file:
```
data_LiSc
_space_group_name_H-M_alt 'C 1 m 1'
_space_group_IT_number 8
_cell_length_a 12.127
_cell_length_b 3.288
_cell_length_c 6.704
_cell_angle_alpha 90.00
_cell_angle_beta 104.72
_cell_angle_gamma 90.00
loop_
_space_group_symop_operation_xyz
'x,y,z'
'x,-y,z'
'x+1/2,y+1/2,z'
'x+1/2,-y+1/2,z'
loop_
_atom_site_label
_atom_site_type_symbol
_atom_site_fract_x
_atom_site_fract_y
_atom_site_fract_z
Li1 Li 0.000 0.000 0.000
Li2 Li 0.020 0.000 0.589
Li3 Li 0.357 0.000 0.696
Sc1 Sc 0.161 0.500 0.355
Sc2 Sc 0.205 0.500 0.894
Sc3 Sc 0.368 0.000 0.250
```

# LaDy3Er2Tm6

An optimized crystal structure of LaDy3Er2Tm6 (GGA-PBE, the Alexandria database).

Results
- Total moment: 0.00 μB per formula unit
- Energy of formation: 0.0257 eV/atom

CIF file:
```
data_LaDy3Er2Tm6
_space_group_name_H-M_alt 'C 1 2/m 1'
_space_group_IT_number 12
_cell_length_a 6.109
_cell_length_b 10.573
_cell_length_c 11.677
_cell_angle_alpha 90.00
_cell_angle_beta 100.01
_cell_angle_gamma 90.00
loop_
_space_group_symop_operation_xyz
'x,y,z'
'-x,-y,-z'
'-x,y,-z'
'x,-y,z'
'x+1/2,y+1/2,z'
'-x+1/2,-y+1/2,-z'
'-x+1/2,y+1/2,-z'
'x+1/2,-y+1/2,z'
loop_
_atom_site_label
_atom_site_type_symbol
_atom_site_fract_x
_atom_site_fract_y
_atom_site_fract_z
La1 La 0.000 0.000 0.000
Dy1 Dy 0.000 0.167 0.500
Dy2 Dy 0.000 0.500 0.500
Er1 Er 0.000 0.333 0.000
Tm1 Tm 0.248 0.333 0.748
Tm2 Tm 0.250 0.000 0.748
```

# MgHIr2

An optimized crystal structure of MgHIr2 (GGA-PBE, the Alexandria database).

Results
- Total moment: 0.00 μB per formula unit
- Offset from the most stable computed form: 7 meV per atom

CIF file:
```
data_MgHIr2
_space_group_name_H-M_alt 'P 1 21/m 1'
_space_group_IT_number 11
_cell_length_a 5.399
_cell_length_b 4.434
_cell_length_c 5.454
_cell_angle_alpha 90.00
_cell_angle_beta 119.11
_cell_angle_gamma 90.00
loop_
_space_group_symop_operation_xyz
'x,y,z'
'-x,-y,-z'
'-x,y+1/2,-z'
'x,-y+1/2,z'
loop_
_atom_site_label
_atom_site_type_symbol
_atom_site_fract_x
_atom_site_fract_y
_atom_site_fract_z
Mg1 Mg 0.053 0.250 0.329
H1 H 0.216 0.750 0.227
Ir1 Ir 0.415 0.750 0.595
Ir2 Ir 0.467 0.750 0.103
```

Number 1: volume 19.34 Å³/atom, DOS(E_F) 0.326 states/eV per atom. Number 2: volume 11.56 Å³/atom, DOS(E_F) 0.125 states/eV per atom. Number 3: volume 15.60 Å³/atom, DOS(E_F) 0.794 states/eV per atom. Number 4: volume 12.92 Å³/atom, DOS(E_F) 0.226 states/eV per atom. Number 5: volume 19.16 Å³/atom, DOS(E_F) 1.423 states/eV per atom. Number 6: volume 42.88 Å³/atom, DOS(E_F) 1.386 states/eV per atom. Number 7: volume 21.55 Å³/atom, DOS(E_F) 1.301 states/eV per atom. Number 8: volume 30.95 Å³/atom, DOS(E_F) 1.330 states/eV per atom. Number 9: volume 14.26 Å³/atom, DOS(E_F) 0.382 states/eV per atom.